No. 1
This record from the Alexandria database describes a relaxed TcSbIr crystal. The functional is GGA-PBE.

## Properties
Calculated total energy in eV/f.u.: -22.58
Offset from the most stable computed form in eV/atom: 0.0000
Space-group type: No. 216

The structure in POSCAR format:
```
TcSbIr
1.0
-3.512 -0.075 2.555
-1.806 -3.794 1.097
0.314 -1.455 4.080
Ir Sb Tc
1 1 1
Direct
0.000 0.000 0.000 Ir
0.500 0.500 0.500 Sb
0.750 0.750 0.750 Tc
```

No. 2
This record from the Alexandria database describes a relaxed Tc2SbIr crystal. The functional is GGA-PBE.

## Properties
Calculated total energy in eV/f.u.: -32.51
Space-group type: No. 160

The structure in POSCAR format:
```
Tc2SbIr
1.0
8.951 -0.007 -0.004
8.474 2.881 -0.004
8.474 1.398 2.519
Ir Sb Tc
1 1 2
Direct
0.502 0.502 0.502 Ir
0.750 0.750 0.750 Sb
0.996 0.996 0.996 Tc
0.251 0.251 0.251 Tc
```

No. 3
This record from the Alexandria database describes a relaxed TcSbIr crystal. The functional is GGA-PBE.

## Properties
Calculated total energy in eV/f.u.: -22.50
Offset from the most stable computed form in eV/atom: 0.0266
Space-group type: No. 107

The structure in POSCAR format:
```
TcSbIr
1.0
6.172 0.006 -0.006
5.441 2.914 -0.009
0.732 0.186 2.902
Ir Sb Tc
1 1 1
Direct
0.017 0.017 0.983 Ir
0.330 0.330 0.670 Sb
0.653 0.653 0.347 Tc
```